## ThNiS2O8 (PBE with a Hubbard U)

Data for an optimized crystal structure of ThNiS2O8.

Cell lengths 5.7856, 5.7856, 6.1408 Å; angles 90.00, 90.00, 120.00 degrees
Atoms (fractional coordinates):
1 O 0.1918 0.8082 0.7457
2 O 0.3836 0.1918 0.2543
3 O 0.6667 0.3333 0.5770
4 O 0.6164 0.8082 0.7457
5 O 0.1918 0.3836 0.7457
6 O 0.8082 0.1918 0.2543
7 O 0.3333 0.6667 0.4230
8 O 0.8082 0.6164 0.2543
9 S 0.3333 0.6667 0.6617
10 S 0.6667 0.3333 0.3383
11 Ni 0.0000 0.0000 0.0000
12 Th 0.0000 0.0000 0.5000

Output
* V: 178.01 Å³ per cell
* VASP energy: -6.297 eV/atom
* space group: P-3m1